(1)
First-principles (GGA-PBE) data for a relaxed ZrBeI crystal, as listed in Alexandria. Values from VASP.

Quantum ESPRESSO input file:
```
&SYSTEM
  ibrav = 0, nat = 6, ntyp = 3
/
ATOMIC_SPECIES
Zr 91.22 Zr.upf
Be 9.01 Be.upf
I 126.90 I.upf
CELL_PARAMETERS angstrom
3.143 -1.815 0.000
3.143 1.815 0.000
-1.949 0.000 13.087
ATOMIC_POSITIONS angstrom
Zr 0.073 0.000 4.270
Zr 4.263 0.000 8.817
Be 0.074 0.000 7.036
Be 4.263 0.000 6.050
I 2.168 0.000 2.210
I 2.168 0.000 10.877
```

* DOS at the Fermi energy: 0.774 states/eV/atom
* space-group type: C2/m (12)
* formation energy (no corrections): -0.1350 eV/atom
* total magnetization: 0.0 μB/f.u.


(2)
First-principles (GGA-PBE) data for a relaxed Pr5ThPb5 crystal, as listed in Alexandria. Values from VASP.

Quantum ESPRESSO input file:
```
&SYSTEM
  ibrav = 0, nat = 11, ntyp = 3
/
ATOMIC_SPECIES
Pr 140.91 Pr.upf
Th 232.04 Th.upf
Pb 207.20 Pb.upf
CELL_PARAMETERS angstrom
7.353 -3.242 0.000
7.353 3.242 0.000
-2.690 0.000 8.516
ATOMIC_POSITIONS angstrom
Pr 0.000 0.000 0.000
Pr 3.091 0.000 5.661
Pr 4.451 0.000 1.410
Pr 7.565 0.000 7.106
Pr 8.924 0.000 2.855
Th -1.345 0.000 4.258
Pb 1.532 0.000 2.801
Pb 0.181 0.000 7.105
Pb 6.008 0.000 4.258
Pb 11.834 0.000 1.411
Pb 10.484 0.000 5.715
```

* DOS at the Fermi energy: 0.909 states/eV/atom
* space-group type: C2/m (12)
* total magnetization: 0.7 μB/f.u.
* formation energy: -31.0 kJ/mol of atoms


(3)
First-principles (GGA-PBE) data for a relaxed BeZnAu crystal, as listed in Alexandria. Values from VASP.

Quantum ESPRESSO input file:
```
&SYSTEM
  ibrav = 0, nat = 3, ntyp = 3
/
ATOMIC_SPECIES
Be 9.01 Be.upf
Zn 65.41 Zn.upf
Au 196.97 Au.upf
CELL_PARAMETERS angstrom
2.830 0.000 0.000
1.346 2.540 0.000
1.405 0.860 5.973
ATOMIC_POSITIONS angstrom
Be 0.000 0.000 0.000
Zn 1.395 0.852 1.847
Au 4.167 2.524 4.155
```

* DOS at the Fermi energy: 0.182 states/eV/atom
* space-group type: P1 (1)
* total magnetization: 0.0 μB/f.u.
* E above lowest polymorph: 16.41 kJ per mole of atoms
* formation energy: 6.1 kJ/mol of atoms


(4)
First-principles (GGA-PBE) data for a relaxed Cr2TeRh crystal, as listed in Alexandria. Values from VASP.

Quantum ESPRESSO input file:
```
&SYSTEM
  ibrav = 0, nat = 4, ntyp = 3
/
ATOMIC_SPECIES
Cr 52.00 Cr.upf
Te 127.60 Te.upf
Rh 102.91 Rh.upf
CELL_PARAMETERS angstrom
3.120 0.000 0.000
0.000 3.776 0.000
0.000 0.000 5.540
ATOMIC_POSITIONS angstrom
Cr 0.000 0.000 0.000
Cr 1.560 1.888 1.056
Te 1.560 1.888 3.861
Rh 0.000 0.000 2.597
```

* DOS at the Fermi energy: 0.805 states/eV/atom
* space-group type: Pmm2 (25)
* formation energy (no corrections): 0.2108 eV/atom
* total magnetization: 0.4 μB/f.u.


(5)
First-principles (GGA-PBE) data for a relaxed HoTh4Pt5 crystal, as listed in Alexandria. Values from VASP.

Quantum ESPRESSO input file:
```
&SYSTEM
  ibrav = 0, nat = 10, ntyp = 3
/
ATOMIC_SPECIES
Ho 164.93 Ho.upf
Th 232.04 Th.upf
Pt 195.08 Pt.upf
CELL_PARAMETERS angstrom
-4.664 4.664 2.952
4.664 -4.664 2.952
4.664 4.664 -2.952
ATOMIC_POSITIONS angstrom
Ho 0.000 0.000 0.000
Th 5.577 1.870 0.003
Th 1.870 3.752 0.003
Th 2.795 0.913 2.955
Th -0.913 2.795 2.955
Pt 2.787 0.931 0.004
Pt 3.733 -1.877 2.955
Pt 0.000 0.000 2.952
Pt 0.931 6.542 0.004
Pt 1.877 3.733 2.955
```

* DOS at the Fermi energy: 0.612 states/eV/atom
* space-group type: I4 (79)
* total magnetization: 0.0 μB/f.u.
* formation energy: -116.0 kJ/mol of atoms


Q: Among the records above, which one has the highest DOS at the Fermi energy?
A: Pr5ThPb5